DFT (PBE-GGA) results for a relaxed Th4As2OsSe crystal.

```
Th4As2OsSe
1.0
-0.165 3.975 -1.269
-0.551 -2.261 -7.012
-6.771 0.643 2.894
Th Se As Os
4 1 2 1
Direct
0.500 0.740 0.752
0.000 0.728 0.231
0.500 0.260 0.248
0.000 0.272 0.769
0.000 0.000 0.000
0.000 0.500 0.500
0.500 0.000 0.500
0.500 0.500 0.000
```

Properties
* energy relative to the elements, uncorrected: -1.157 eV/atom
* space-group type: No. 10
* calculated volume: 215.28 Å³/cell



DFT (PBE-GGA) results for a relaxed Sc2UOs3 crystal.

```
Sc2UOs3
1.0
3.320 0.000 0.000
0.000 4.409 -1.460
0.000 -0.041 7.265
Os U Sc
3 1 2
Direct
0.500 0.839 0.677
0.500 0.500 0.000
0.500 0.161 0.323
0.000 0.000 0.000
0.000 0.673 0.346
0.000 0.327 0.654
```

Properties
* formation energy: -0.363 eV/atom
* space-group type: No. 65
* calculated volume: 106.13 Å³/cell



DFT (PBE-GGA) results for a relaxed AcFeGe2 crystal.

```
AcFeGe2
1.0
4.457 0.000 0.000
0.000 4.253 -1.038
0.000 -0.051 9.022
Ac Fe Ge
2 2 4
Direct
0.000 0.144 0.288
0.000 0.856 0.712
0.500 0.567 0.133
0.500 0.433 0.867
0.500 0.706 0.412
0.500 0.000 0.000
0.000 0.500 0.000
0.500 0.294 0.588
```

Properties
* formation energy: -0.468 eV/atom
* space-group type: No. 65
* calculated volume: 170.78 Å³/cell
* relative energy among the computed polymorphs: 0.000 eV/f.u.



DFT (PBE-GGA) results for a relaxed La2YMo crystal.

```
La2YMo
1.0
-0.191 1.374 -3.407
1.905 -2.880 -1.268
-7.202 -4.196 -1.289
Y La Mo
1 2 1
Direct
0.500 0.500 0.750
0.000 0.000 0.454
0.000 0.000 0.046
0.500 0.500 0.250
```

Properties
* formation energy: 0.347 eV/atom
* space-group type: No. 123
* calculated volume: 114.16 Å³/cell
* relative energy among the computed polymorphs: 0.206 eV/f.u.



DFT (PBE-GGA) results for a relaxed Mn2CoCuC crystal.

```
Mn2CoCuC
1.0
3.878 0.000 0.000
0.000 3.878 0.000
0.000 0.000 3.705
Co Mn C Cu
1 2 1 1
Direct
0.000 0.000 0.500
0.500 0.000 0.000
0.000 0.500 0.000
0.000 0.000 0.000
0.500 0.500 0.500
```

Properties
* formation energy: 0.086 eV/atom
* space-group type: No. 123
* calculated volume: 55.73 Å³/cell
* relative energy among the computed polymorphs: 0.000 eV/f.u.



DFT (PBE-GGA) results for a relaxed NaCr2AsIr crystal.

```
NaCr2AsIr
1.0
-4.438 -1.303 -0.459
0.857 -3.900 2.784
-1.113 2.457 3.785
Cr Na Ir As
2 1 1 1
Direct
0.500 0.000 0.000
0.000 0.000 0.500
0.000 0.500 0.000
0.500 0.500 0.500
0.000 0.000 0.000
```

Properties
* formation energy: 1.091 eV/atom
* space-group type: No. 123
* calculated volume: 105.19 Å³/cell



Let's list VASP energy in order: -62.95 -59.82 -47.35 -25.76 -38.34 -28.62 eV/cell.
Let's list size of the total moment in order: 0.0 0.3 3.0 0.0 6.1 6.8 Bohr magnetons per cell.